## Sm2InCu12Ni3 (PBE-GGA)

Data for a relaxed Sm2InCu12Ni3 crystal.

Results
Raw total energy (eV/atom): -4.294
Formation energy from the elements (eV/f.u.): 1.39

a = 8.5743 Å, b = 8.5743 Å, c = 12.4095 Å
α = 90.00°, β = 90.00°, γ = 120.00°
Space group R-3m (No. 166, hexagonal axes)
One atom of each set of equivalent atoms:
Sm1 0.0000 0.0000 0.2421 x6
In1 0.0000 0.0000 0.5000 x3
Cu1 0.0035 0.5018 0.2063 x18
Cu2 0.0471 0.5236 0.6020 x18
Ni1 0.0000 0.5000 0.0000 x9